Record 1
Entry from the Alexandria database: a geometry-optimized KSr3Pd structure (PBE-GGA).

The calculation puts the energy of formation from the pure elements at 10.0 kcal/mol of atoms. For the energy above the most stable polymorph in this dataset, the calculation gives 3.489 eV per formula unit.

The space group is P6_3/mmc (No. 194) and the conventional cell measures 5.3338, 5.3338 and 20.2459 Å, with angles of 90.00, 90.00 and 120.00 degrees. Symmetry generates all atoms from K at (0.3333, 0.6667, 0.2500), Sr at (0.0000, 0.0000, 0.2500), Sr at (0.3333, 0.6667, 0.0614) and Pd at (0.0000, 0.0000, 0.0000).

***

Record 2
Entry from the Alexandria database: a geometry-optimized KSr3Pd8 structure (PBE-GGA).

The calculation puts the energy of formation from the pure elements at -11.9 kcal/mol of atoms.

The space group is R3m (No. 160, hexagonal axes) and the conventional cell measures 5.6002, 5.6002 and 27.4552 Å, with angles of 90.00, 90.00 and 120.00 degrees. Symmetry generates all atoms from K at (0.0000, 0.0000, 0.0000), Sr at (0.0000, 0.0000, 0.1222), Sr at (0.0000, 0.0000, 0.5022), Sr at (0.0000, 0.0000, 0.6300), Pd at (0.0000, 0.0000, 0.3136), Pd at (0.0000, 0.0000, 0.8138), Pd at (0.0019, 0.5010, 0.0651) and Pd at (0.1677, 0.3355, 0.8957).

***

Record 3
Entry from the Alexandria database: a geometry-optimized KSr3Pd structure (PBE-GGA).

The calculation puts the energy of formation from the pure elements at -6.0 kcal/mol of atoms. For the energy above the most stable polymorph in this dataset, the calculation gives 0.017 eV per formula unit.

The space group is Pm-3m (No. 221) and the conventional cell measures 6.164, 6.164 and 6.164 Å, with angles of 90.00, 90.00 and 90.00 degrees. Symmetry generates all atoms from K at (0.000, 0.000, 0.000), Sr at (0.000, 0.500, 0.500) and Pd at (0.500, 0.500, 0.500).

***

Record 4
Entry from the Alexandria database: a geometry-optimized KSr3Pd structure (PBE-GGA).

The calculation puts the energy of formation from the pure elements at -4.9 kcal/mol of atoms. For the energy above the most stable polymorph in this dataset, the calculation gives 0.254 eV per formula unit.

The space group is R-3 (No. 148, hexagonal axes) and the conventional cell measures 7.5722, 7.5722 and 32.7190 Å, with angles of 90.00, 90.00 and 120.00 degrees. Symmetry generates all atoms from K at (0.0000, 0.0000, 0.1668), Sr at (0.0033, 0.3403, 0.0515) and Pd at (0.0000, 0.0000, 0.3324).